An optimized crystal structure of K2CrGaBi, computed with PBE-GGA.

- Magnetic moment: 0.7191 μB per atom
- D(E_F): 4.48 states/eV/cell
- Total energy: -3.22 eV/atom
- Formation energy: 0.527 eV per atom

abc: 6.7985 6.7985 5.2431
angles: 90.00 90.00 90.00
Space group P4/mmm (No. 123)
Symmetry-distinct sites (fractional):
K 0.0000 0.5000 0.0000 [2 per cell]
Cr 0.0000 0.0000 0.5000 [1 per cell]
Ga 0.5000 0.5000 0.5000 [1 per cell]
Bi 0.0000 0.0000 0.0000 [1 per cell]